Entry 1:
A geometry-optimized Na2Sr6Pd structure. Source: Alexandria, functional PBE.

Calculated values
As for the density of states at the Fermi level: 0.500 states/eV/atom. Its energy of formation is -0.1564 eV per atom.

```
Na2Sr6Pd
1.0
7.3313 -4.2336 0.0000
7.3313 4.2336 0.0000
-4.8902 0.0000 6.9126
Na Sr Pd
2 6 1
direct
0.2500 0.2500 0.2497
0.7500 0.7500 0.7503
0.2495 0.2495 0.7488
0.2491 0.7504 0.2503
0.2496 0.7509 0.7497
0.7504 0.2491 0.2503
0.7509 0.2496 0.7497
0.7505 0.7505 0.2512
0.0000 0.0000 0.5000
```


Entry 2:
A geometry-optimized NaSr4Pd structure. Source: Alexandria, functional PBE.

Calculated values
As for the density of states at the Fermi level: 0.695 states/eV/atom. Its energy of formation is -0.1678 eV per atom.

```
NaSr4Pd
1.0
5.3070 -8.3205 0.0000
5.3070 8.3205 0.0000
-3.8404 0.0000 6.4879
Na Sr Pd
2 8 2
direct
0.1062 0.8938 0.7500
0.8938 0.1062 0.2500
0.1436 0.5557 0.3403
0.2524 0.3556 0.7947
0.3556 0.2524 0.2947
0.4443 0.8564 0.1597
0.5557 0.1436 0.8403
0.6444 0.7476 0.7053
0.7476 0.6444 0.2053
0.8564 0.4443 0.6597
0.4264 0.5736 0.2500
0.5736 0.4264 0.7500
```


Entry 3:
A geometry-optimized NaSr2Pd2 structure. Source: Alexandria, functional PBE.

Calculated values
As for the density of states at the Fermi level: 0.345 states/eV/atom. Its energy of formation is -0.4469 eV per atom.

```
NaSr2Pd2
1.0
4.4634 0.0000 0.0000
0.0000 15.9618 0.0000
0.0000 0.0000 4.2411
Na Sr Pd
2 4 4
direct
0.0000 0.0000 0.0000
0.5000 0.5000 0.0000
0.0000 0.3496 0.5000
0.0000 0.6504 0.5000
0.5000 0.1504 0.5000
0.5000 0.8496 0.5000
0.0000 0.1972 0.0000
0.0000 0.8028 0.0000
0.5000 0.3028 0.0000
0.5000 0.6972 0.0000
```